[1]
Here is Ac3Cd3Ga2 after structural relaxation from Alexandria. Energies are from PBE.

Summary:
Energy of formation ... -398 meV/atom

Cell and atoms, written as CIF:
```
data_Ac3Cd3Ga2
_chemical_formula_sum 'Ac12 Cd12 Ga8'
_symmetry_space_group_name_H-M 'C m c m'
_symmetry_Int_Tables_number 63
_symmetry_space_group_name_Hall '-C 2c 2'
_cell_length_a 4.8837
_cell_length_b 11.6862
_cell_length_c 16.4425
_cell_angle_alpha 90.00
_cell_angle_beta 90.00
_cell_angle_gamma 90.00
loop_
_atom_site_label
_atom_site_type_symbol
_atom_site_fract_x
_atom_site_fract_y
_atom_site_fract_z
Ac1 Ac 0.0000 0.0937 0.1057
Ac2 Ac 0.0000 0.3745 0.2500
Cd1 Cd 0.0000 0.3347 0.7500
Cd2 Cd 0.0000 0.3779 0.0359
Ga1 Ga 0.0000 0.2019 0.6037
```

***

[2]
Here is Pm2SmErS4 after structural relaxation from Alexandria. Energies are from PBE.

Summary:
Raw formation energy ... -2.009 eV per atom

Cell and atoms, written as CIF:
```
data_Pm2SmErS4
_chemical_formula_sum 'Pm2 Sm1 Er1 S4'
_symmetry_space_group_name_H-M 'P 1 2/m 1'
_symmetry_Int_Tables_number 10
_symmetry_space_group_name_Hall '-P 2y'
_cell_length_a 6.9110
_cell_length_b 3.9409
_cell_length_c 6.9539
_cell_angle_alpha 90.00
_cell_angle_beta 108.91
_cell_angle_gamma 90.00
loop_
_atom_site_label
_atom_site_type_symbol
_atom_site_fract_x
_atom_site_fract_y
_atom_site_fract_z
Pm1 Pm 0.0000 0.0000 0.0000
Pm2 Pm 0.5000 0.5000 0.0000
Sm1 Sm 0.0000 0.5000 0.5000
Er1 Er 0.5000 0.0000 0.5000
S1 S 0.2541 0.0000 0.7426
S2 S 0.2607 0.5000 0.2622
```

***

[3]
Here is CdRe2HgPd after structural relaxation from Alexandria. Energies are from PBE.

Summary:
Energy of formation ... 2516 meV/atom

Cell and atoms, written as CIF:
```
data_CdRe2HgPd
_chemical_formula_sum 'Cd1 Re2 Hg1 Pd1'
_symmetry_space_group_name_H-M 'P 4/m m m'
_symmetry_Int_Tables_number 123
_symmetry_space_group_name_Hall '-P 4 2'
_cell_length_a 5.0635
_cell_length_b 5.0635
_cell_length_c 5.0712
_cell_angle_alpha 90.00
_cell_angle_beta 90.00
_cell_angle_gamma 90.00
loop_
_atom_site_label
_atom_site_type_symbol
_atom_site_fract_x
_atom_site_fract_y
_atom_site_fract_z
Cd1 Cd 0.0000 0.0000 0.0000
Re1 Re 0.0000 0.5000 0.5000
Hg1 Hg 0.0000 0.0000 0.5000
Pd1 Pd 0.5000 0.5000 0.0000
```

***

[4]
Here is Mg3H2O4 after structural relaxation from Alexandria. Energies are from PBE.

Summary:
VASP energy ... -50.725 eV/f.u.

Cell and atoms, written as CIF:
```
data_Mg3H2O4
_chemical_formula_sum 'Mg6 H4 O8'
_symmetry_space_group_name_H-M 'P -3 m 1'
_symmetry_Int_Tables_number 164
_symmetry_space_group_name_Hall '-P 3 2"'
_cell_length_a 3.0723
_cell_length_b 3.0723
_cell_length_c 19.7344
_cell_angle_alpha 90.00
_cell_angle_beta 90.00
_cell_angle_gamma 120.00
loop_
_atom_site_label
_atom_site_type_symbol
_atom_site_fract_x
_atom_site_fract_y
_atom_site_fract_z
Mg1 Mg 0.0000 0.0000 0.1221
Mg2 Mg 0.3333 0.6667 0.3703
Mg3 Mg 0.3333 0.6667 0.7538
H1 H 0.3333 0.6667 0.5269
H2 H 0.3333 0.6667 0.9809
O1 O 0.0000 0.0000 0.3081
O2 O 0.3333 0.6667 0.1843
O3 O 0.3333 0.6667 0.5759
O4 O 0.3333 0.6667 0.9317
```

***

[5]
Here is Al4Br3 after structural relaxation from Alexandria. Energies are from PBE.

Summary:
Raw formation energy ... -0.109 eV per atom

Cell and atoms, written as CIF:
```
data_Al4Br3
_chemical_formula_sum 'Al8 Br6'
_symmetry_space_group_name_H-M 'I 4/m m m'
_symmetry_Int_Tables_number 139
_symmetry_space_group_name_Hall '-I 4 2'
_cell_length_a 3.4184
_cell_length_b 3.4184
_cell_length_c 28.5646
_cell_angle_alpha 90.00
_cell_angle_beta 90.00
_cell_angle_gamma 90.00
loop_
_atom_site_label
_atom_site_type_symbol
_atom_site_fract_x
_atom_site_fract_y
_atom_site_fract_z
Al1 Al 0.0000 0.0000 0.0719
Al2 Al 0.0000 0.0000 0.3766
Br1 Br 0.0000 0.0000 0.1813
Br2 Br 0.0000 0.0000 0.5000
```

***

[6]
Here is FeAuCl2 after structural relaxation from Alexandria. Energies are from PBE.

Summary:
E above lowest polymorph ... 161 meV per atom
Raw formation energy ... -0.063 eV per atom

Cell and atoms, written as CIF:
```
data_FeAuCl2
_chemical_formula_sum 'Fe2 Au2 Cl4'
_symmetry_space_group_name_H-M 'C m m 2'
_symmetry_Int_Tables_number 35
_symmetry_space_group_name_Hall 'C 2 -2'
_cell_length_a 3.4867
_cell_length_b 5.8973
_cell_length_c 8.6245
_cell_angle_alpha 90.00
_cell_angle_beta 90.00
_cell_angle_gamma 90.00
loop_
_atom_site_label
_atom_site_type_symbol
_atom_site_fract_x
_atom_site_fract_y
_atom_site_fract_z
Fe1 Fe 0.0000 0.0000 0.0000
Au1 Au 0.0000 0.5000 0.7836
Cl1 Cl 0.0000 0.0000 0.5755
Cl2 Cl 0.0000 0.5000 0.1790
```

***

[7]
Here is Tl3O2 after structural relaxation from Alexandria. Energies are from PBE.

Summary:
Raw formation energy ... -0.489 eV per atom

Cell and atoms, written as CIF:
```
data_Tl3O2
_chemical_formula_sum 'Tl6 O4'
_symmetry_space_group_name_H-M 'P 1 21/m 1'
_symmetry_Int_Tables_number 11
_symmetry_space_group_name_Hall '-P 2yb'
_cell_length_a 6.9423
_cell_length_b 3.6582
_cell_length_c 8.8132
_cell_angle_alpha 90.00
_cell_angle_beta 104.34
_cell_angle_gamma 90.00
loop_
_atom_site_label
_atom_site_type_symbol
_atom_site_fract_x
_atom_site_fract_y
_atom_site_fract_z
Tl1 Tl 0.0133 0.2500 0.3236
Tl2 Tl 0.2838 0.2500 0.0342
Tl3 Tl 0.4313 0.2500 0.6521
O1 O 0.1709 0.7500 0.4750
O2 O 0.3233 0.7500 0.8593
```

***

[8]
Here is ScGa2Os2 after structural relaxation from Alexandria. Energies are from PBE.

Summary:
Energy of formation ... -45 meV/atom
E above lowest polymorph ... 177 meV per atom

Cell and atoms, written as CIF:
```
data_ScGa2Os2
_chemical_formula_sum 'Sc2 Ga4 Os4'
_symmetry_space_group_name_H-M 'I 4/m m m'
_symmetry_Int_Tables_number 139
_symmetry_space_group_name_Hall '-I 4 2'
_cell_length_a 4.1725
_cell_length_b 4.1725
_cell_length_c 10.3421
_cell_angle_alpha 90.00
_cell_angle_beta 90.00
_cell_angle_gamma 90.00
loop_
_atom_site_label
_atom_site_type_symbol
_atom_site_fract_x
_atom_site_fract_y
_atom_site_fract_z
Sc1 Sc 0.0000 0.0000 0.0000
Ga1 Ga 0.0000 0.5000 0.2500
Os1 Os 0.0000 0.0000 0.3870
```

***

[9]
Here is MnAg2SnTe4 after structural relaxation from Alexandria. Energies are from PBE.

Summary:
Raw formation energy ... -0.134 eV per atom

Cell and atoms, written as CIF:
```
data_MnAg2SnTe4
_chemical_formula_sum 'Mn2 Ag4 Sn2 Te8'
_symmetry_space_group_name_H-M 'I -4 2 m'
_symmetry_Int_Tables_number 121
_symmetry_space_group_name_Hall 'I -4 2'
_cell_length_a 6.3888
_cell_length_b 6.3888
_cell_length_c 13.0536
_cell_angle_alpha 90.00
_cell_angle_beta 90.00
_cell_angle_gamma 90.00
loop_
_atom_site_label
_atom_site_type_symbol
_atom_site_fract_x
_atom_site_fract_y
_atom_site_fract_z
Mn1 Mn 0.0000 0.0000 0.0000
Ag1 Ag 0.0000 0.5000 0.2500
Sn1 Sn 0.0000 0.0000 0.5000
Te1 Te 0.2406 0.2406 0.8755
```

***

[10]
Here is PuSc5Bi6 after structural relaxation from Alexandria. Energies are from PBE.

Summary:
Energy of formation ... -595 meV/atom

Cell and atoms, written as CIF:
```
data_PuSc5Bi6
_chemical_formula_sum 'Pu2 Sc10 Bi12'
_symmetry_space_group_name_H-M 'C 1 2/m 1'
_symmetry_Int_Tables_number 12
_symmetry_space_group_name_Hall '-C 2y'
_cell_length_a 7.4736
_cell_length_b 12.9477
_cell_length_c 7.4780
_cell_angle_alpha 90.00
_cell_angle_beta 109.60
_cell_angle_gamma 90.00
loop_
_atom_site_label
_atom_site_type_symbol
_atom_site_fract_x
_atom_site_fract_y
_atom_site_fract_z
Pu1 Pu 0.0000 0.0000 0.0000
Sc1 Sc 0.0000 0.1610 0.5000
Sc2 Sc 0.0000 0.3317 0.0000
Sc3 Sc 0.0000 0.5000 0.5000
Bi1 Bi 0.2393 0.5000 0.2522
Bi2 Bi 0.2416 0.3281 0.7416
```

***

[11]
Here is ZrPtNO2 after structural relaxation from Alexandria. Energies are from PBE.

Summary:
Raw formation energy ... -0.331 eV per atom

Cell and atoms, written as CIF:
```
data_ZrPtNO2
_chemical_formula_sum 'Zr1 Pt1 N1 O2'
_symmetry_space_group_name_H-M 'P 4/m m m'
_symmetry_Int_Tables_number 123
_symmetry_space_group_name_Hall '-P 4 2'
_cell_length_a 4.0694
_cell_length_b 4.0694
_cell_length_c 4.4246
_cell_angle_alpha 90.00
_cell_angle_beta 90.00
_cell_angle_gamma 90.00
loop_
_atom_site_label
_atom_site_type_symbol
_atom_site_fract_x
_atom_site_fract_y
_atom_site_fract_z
Zr1 Zr 0.0000 0.0000 0.0000
Pt1 Pt 0.5000 0.5000 0.5000
N1 N 0.0000 0.0000 0.5000
O1 O 0.0000 0.5000 0.0000
```

***

[12]
Here is CsSr2Os after structural relaxation from Alexandria. Energies are from PBE.

Summary:
Energy of formation ... 935 meV/atom
E above lowest polymorph ... 61 meV per atom

Cell and atoms, written as CIF:
```
data_CsSr2Os
_chemical_formula_sum 'Cs4 Sr8 Os4'
_symmetry_space_group_name_H-M 'F m -3 m'
_symmetry_Int_Tables_number 225
_symmetry_space_group_name_Hall '-F 4 2 3'
_cell_length_a 7.9803
_cell_length_b 7.9803
_cell_length_c 7.9803
_cell_angle_alpha 90.00
_cell_angle_beta 90.00
_cell_angle_gamma 90.00
loop_
_atom_site_label
_atom_site_type_symbol
_atom_site_fract_x
_atom_site_fract_y
_atom_site_fract_z
Cs1 Cs 0.0000 0.0000 0.0000
Sr1 Sr 0.2500 0.2500 0.2500
Os1 Os 0.0000 0.0000 0.5000
```